Nd7Tl5Bi | PBE | relaxed

abc: 6.6314 8.5860 8.5860
angles: 82.86 67.28 67.28
With the nearest neighbours (Å) after each atom.
Fractional positions:
Nd1 0.0116 0.3082 0.6686  5 Tl 3.24-3.35
Nd2 0.6125 0.3875 0.3875  1 Bi 3.53, 4 Tl 3.65, 4 Nd 3.83-3.90
Tl1 0.7836 0.7164 0.7164  6 Nd 3.24-3.37, 4 Tl 3.36
Nd3 0.0116 0.6686 0.3082  5 Tl 3.24-3.35
Tl2 0.5168 0.4766 0.9893  6 Nd 3.23-3.48, 3 Tl 3.31-3.36
Nd4 0.5328 0.8012 0.1331  5 Tl 3.24-3.48, 1 Nd 3.32
Tl3 0.0174 0.4766 0.9893  6 Nd 3.23-3.48, 3 Tl 3.31-3.36
Tl4 0.5168 0.9893 0.4766  6 Nd 3.23-3.48, 3 Tl 3.31-3.36
Nd5 0.5328 0.1331 0.8012  5 Tl 3.24-3.48, 1 Nd 3.32
Tl5 0.0174 0.9893 0.4766  6 Nd 3.23-3.48, 3 Tl 3.31-3.36
Bi1 0.9327 0.0673 0.0673  2 Nd 3.26-3.53
Nd6 0.2283 0.7717 0.7717  1 Bi 3.26, 6 Tl 3.37-3.38
Nd7 0.2857 0.2143 0.2143  4 Tl 3.23, 2 Nd 3.32

Results
Symmetry: Imm2 (44)
Energy (eV per atom): -4.025
Crystal system: orthorhombic
ΔH_f (0 K) (eV per atom): -0.249